This record from Alexandria via LeMat-Bulk describes a relaxed TbB2Rh3 crystal. The functional is PBE-GGA.

Cell lengths 5.4367, 5.4367, 3.1320 Å; angles 90.00, 90.00, 120.00 degrees
Closest atoms and distances in Å follow each position.
Space group P6/mmm (No. 191)
Inequivalent atoms, fractional coordinates:
Tb  0.0000  0.0000  0.0000 (multiplicity 1)  2 Tb 3.13, 12 Rh 3.14, 6 B 3.14
B  0.3333  0.6667  0.0000 (multiplicity 2)  6 Rh 2.22
Rh  0.0000  0.5000  0.5000 (multiplicity 3)  4 B 2.22

DFT formation energy: -4.24 eV per formula unit
Spin magnetization: 0.0 μB per formula unit

=====

This record from Alexandria via LeMat-Bulk describes a relaxed TbB4Rh4 crystal. The functional is PBE-GGA.

Cell lengths 5.3393, 5.3393, 7.4794 Å; angles 90.00, 90.00, 90.00 degrees
Closest atoms and distances in Å follow each position.
Space group P4_2/nmc (No. 137, origin choice 2)
Inequivalent atoms, fractional coordinates:
Tb  0.2500  0.7500  0.2500 (multiplicity 2)  12 Rh 2.97-3.18, 12 B 3.03-3.16
B  0.0814  0.2500  0.1005 (multiplicity 8)  1 B 1.80
Rh  0.0012  0.7500  0.6049 (multiplicity 8)  5 B 2.21-2.25

DFT formation energy: -5.27 eV per formula unit
Spin magnetization: 0.0 μB per formula unit

=====

This record from Alexandria via LeMat-Bulk describes a relaxed TbB2Rh3 crystal. The functional is PBE-GGA.

Cell lengths 8.8830, 8.8830, 3.5758 Å; angles 90.00, 90.00, 120.00 degrees
Closest atoms and distances in Å follow each position.
Space group P6/mmm (No. 191)
Inequivalent atoms, fractional coordinates:
Tb  0.0000  0.0000  0.0000 (multiplicity 1)  6 B 2.91, 12 Rh 3.09
Tb  0.3333  0.6667  0.5000 (multiplicity 2)  6 B 2.85, 6 Rh 3.13
B  0.1892  0.3784  0.0000 (multiplicity 6)  6 Rh 2.31-2.41
Rh  0.0000  0.2835  0.5000 (multiplicity 6)  4 B 2.31, 2 Rh 2.52
Rh  0.0000  0.5000  0.0000 (multiplicity 3)  4 B 2.41, 4 Rh 2.63

DFT formation energy: -2.32 eV per formula unit
Spin magnetization: 0.0 μB per formula unit

=====

This record from Alexandria via LeMat-Bulk describes a relaxed Tb2BRh3 crystal. The functional is PBE-GGA.

Cell lengths 3.2977, 5.1909, 12.5265 Å; angles 90.00, 90.00, 90.00 degrees
Closest atoms and distances in Å follow each position.
Space group Immm (No. 71)
Inequivalent atoms, fractional coordinates:
Tb  0.0000  0.0000  0.1817 (multiplicity 4)  4 Rh 2.75-2.81
B  0.0000  0.0000  0.5000 (multiplicity 2)  4 Rh 2.14
Rh  0.0000  0.5000  0.1090 (multiplicity 4)  2 B 2.14
Rh  0.0000  0.5000  0.5000 (multiplicity 2)  2 B 2.60, 4 Tb 2.81

DFT formation energy: -2.00 eV per formula unit
Spin magnetization: 0.0 μB per formula unit

=====

This record from Alexandria via LeMat-Bulk describes a relaxed Tb2B6Rh9 crystal. The functional is PBE-GGA.

Cell lengths 5.6130, 5.6130, 8.5750 Å; angles 90.00, 90.00, 120.00 degrees
Closest atoms and distances in Å follow each position.
Space group P6/mmm (No. 191)
Inequivalent atoms, fractional coordinates:
Tb  0.0000  0.0000  0.2067 (multiplicity 2)  12 Rh 3.02-3.32, 6 B 3.26
B  0.3333  0.6667  0.1671 (multiplicity 4)  6 Rh 2.16-2.17
B  0.3333  0.6667  0.5000 (multiplicity 2)  6 Rh 2.15
Rh  0.0000  0.5000  0.0000 (multiplicity 3)  4 B 2.16
Rh  0.0000  0.5000  0.3359 (multiplicity 6)  4 B 2.15-2.17

DFT formation energy: -10.91 eV per formula unit
Spin magnetization: 0.0 μB per formula unit

=====

This record from Alexandria via LeMat-Bulk describes a relaxed TbBRh2 crystal. The functional is PBE-GGA.

Cell lengths 5.1800, 7.8444, 3.1576 Å; angles 90.00, 90.00, 90.00 degrees
Closest atoms and distances in Å follow each position.
Space group Cmmm (No. 65)
Inequivalent atoms, fractional coordinates:
Tb  0.0000  0.0000  0.0000 (multiplicity 2)  2 B 2.59
B  0.0000  0.5000  0.0000 (multiplicity 2)  4 Rh 2.08
Rh  0.0000  0.3277  0.5000 (multiplicity 4)  2 B 2.08

DFT formation energy: -1.83 eV per formula unit
Spin magnetization: 0.0 μB per formula unit

=====

Which value of DFT formation energy does entry 2 give? -5.27 eV per formula unit

=====

What is the DFT formation energy in the sixth record? -1.83 eV per formula unit

=====

Copy entry 3 word for word.
This record from Alexandria via LeMat-Bulk describes a relaxed TbB2Rh3 crystal. The functional is PBE-GGA.

Cell lengths 8.8830, 8.8830, 3.5758 Å; angles 90.00, 90.00, 120.00 degrees
Closest atoms and distances in Å follow each position.
Space group P6/mmm (No. 191)
Inequivalent atoms, fractional coordinates:
Tb  0.0000  0.0000  0.0000 (multiplicity 1)  6 B 2.91, 12 Rh 3.09
Tb  0.3333  0.6667  0.5000 (multiplicity 2)  6 B 2.85, 6 Rh 3.13
B  0.1892  0.3784  0.0000 (multiplicity 6)  6 Rh 2.31-2.41
Rh  0.0000  0.2835  0.5000 (multiplicity 6)  4 B 2.31, 2 Rh 2.52
Rh  0.0000  0.5000  0.0000 (multiplicity 3)  4 B 2.41, 4 Rh 2.63

DFT formation energy: -2.32 eV per formula unit
Spin magnetization: 0.0 μB per formula unit

=====

Look up the DFT formation energy of the sixth one. -1.83 eV per formula unit